i | DFT (PBE) results for a geometry-optimized FeCoAsBr2 structure. Values from VASP.

Summary:
Space group = P4/mmm

Cell and atoms, written as Quantum ESPRESSO input:
```
&SYSTEM
  ibrav = 0, nat = 5, ntyp = 4
/
ATOMIC_SPECIES
As 74.92 As.upf
Br 79.90 Br.upf
Co 58.93 Co.upf
Fe 55.84 Fe.upf
CELL_PARAMETERS angstrom
5.0829 0.0000 0.0000
0.0000 5.0829 0.0000
0.0000 0.0000 4.4922
ATOMIC_POSITIONS angstrom
As 0.0000 0.0000 2.2461
Br 2.5414 0.0000 0.0000
Co 2.5414 2.5414 2.2461
Br 0.0000 2.5414 0.0000
Fe 0.0000 0.0000 0.0000
```

***

ii | DFT (PBE) results for a geometry-optimized FeCoAsBr2 structure. Values from VASP.

Summary:
Space group = P4/mmm

Cell and atoms, written as Quantum ESPRESSO input:
```
&SYSTEM
  ibrav = 0, nat = 5, ntyp = 4
/
ATOMIC_SPECIES
As 74.92 As.upf
Br 79.90 Br.upf
Co 58.93 Co.upf
Fe 55.84 Fe.upf
CELL_PARAMETERS angstrom
-2.6557 -0.9866 4.1241
-3.3712 -2.4605 -2.7595
2.2856 -3.7706 0.5698
ATOMIC_POSITIONS angstrom
As 1.1428 -1.8853 0.2849
Br -1.6856 -1.2303 -1.3798
Co 0.0000 0.0000 0.0000
Fe -1.8707 -3.6088 0.9672
Br -1.3279 -0.4933 2.0620
```

***

On energetic grounds, ii is preferred over the next structure by 13.8 kJ/mol of atoms.